## TmCoNO (PBE with a Hubbard U)

Data for crystalline TmCoNO at its relaxed geometry.

Cell and atoms, written as extended XYZ:
```
16
Lattice="-4.890 2.521 -1.153 -0.520 -4.057 -6.667 -2.338 -3.481 2.301" Properties=species:S:1:pos:R:3 pbc="T T T"
Tm -6.126 -0.927 -2.226
Tm -0.654 -2.649 -4.245
Tm -3.831 -3.355 -3.568
Tm -2.949 -0.222 -2.903
N -4.192 -1.981 -1.792
N -4.919 0.738 -3.389
N -2.618 -1.641 -4.650
N -1.891 -4.359 -3.052
Co -3.244 -2.217 -6.470
Co -6.258 -3.006 -5.755
Co -3.418 -1.185 -0.116
Co -0.404 -0.396 -0.831
O -4.748 -4.224 -5.328
O -1.885 -2.230 0.597
O -5.123 -1.687 -6.843
O -2.261 0.307 -0.918
```

Properties
SG   Pca2_1 (29)
Crystal system   orthorhombic
Offset from the most stable computed form   0.0278 eV per atom
E_tot   -7.12 eV/atom
V   210 Å³/cell